A plane-wave DFT calculation with GGA-PBEsol was carried out for a relaxed LiCa3 crystal.

Unit cell a=7.4318 b=7.4318 c=6.0749 alpha=90.00 beta=90.00 gamma=120.00
With the nearest neighbours (Å) after each atom.
Space group P6_3/mmc (No. 194)
One atom of each set of equivalent atoms:
Li  0.3333  0.6667  0.2500 [2 per cell]  12 Ca 3.71-3.72
Ca  0.1684  0.3367  0.7500 [6 per cell]  8 Ca 3.68-3.75, 4 Li 3.71-3.72

Calculated values
Calculated formation energy (eV per atom): 0.057
Energy above the lowest structure with this stoichiometry (meV/atom): 28.5



A plane-wave DFT calculation with GGA-PBEsol was carried out for a relaxed RhSe2NO crystal.

Unit cell a=4.9478 b=4.9478 c=3.5445 alpha=90.00 beta=90.00 gamma=90.00
With the nearest neighbours (Å) after each atom.
Space group P4/mmm (No. 123)
One atom of each set of equivalent atoms:
Rh  0.0000  0.0000  0.0000 [1 per cell]  2 N 1.77
Se  0.0000  0.5000  0.0000 [2 per cell]  2 Rh 2.47
N  0.0000  0.0000  0.5000 [1 per cell]  2 Rh 1.77
O  0.5000  0.5000  0.5000 [1 per cell]  8 Se 3.04

Calculated values
Formation energy without anion corrections (eV/atom): 0.99



A plane-wave DFT calculation with GGA-PBEsol was carried out for a relaxed FeNiN2 crystal.

Unit cell a=4.2477 b=4.2477 c=8.3307 alpha=90.00 beta=90.00 gamma=90.00
With the nearest neighbours (Å) after each atom.
Space group I-42d (No. 122)
One atom of each set of equivalent atoms:
Fe  0.0000  0.0000  0.0000 [4 per cell]  4 N 1.78
Ni  0.0000  0.0000  0.5000 [4 per cell]  4 N 1.88
N  0.2295  0.2500  0.1250 [8 per cell]  2 Fe 1.78, 2 Ni 1.88

Calculated values
Energy above the lowest structure with this stoichiometry (meV/atom): 0.0
Formation energy without anion corrections (eV/atom): -0.08